Material: K4SmU3Te8
Method: DFT, PBE
State: relaxed

abc: 9.0391 9.0391 24.8913
angles: 90.00 90.00 120.00
Space group R-3m (No. 166, hexagonal axes)
Symmetry-distinct sites (fractional):
K  0.0000  0.0000  0.0000 (multiplicity 3)
K  0.0000  0.5000  0.0000 (multiplicity 9)
Sm  0.0000  0.0000  0.5000 (multiplicity 3)
U  0.0000  0.5000  0.5000 (multiplicity 9)
Te  0.0000  0.0000  0.2372 (multiplicity 6)
Te  0.0016  0.5008  0.7624 (multiplicity 18)

Computed properties:
Its formation energy (no corrections) is -0.98 eV per atom. The calculation puts the spin magnetization at 27.02 μB/cell. The density of states at the Fermi level is 69.72 states/eV/cell.

---

Material: K3SmU2Te6
Method: DFT, PBE
State: relaxed

abc: 7.8382 13.5769 8.6918
angles: 90.00 107.49 90.00
Space group C2/m (No. 12)
Symmetry-distinct sites (fractional):
K  0.0000  0.0000  0.0000 (multiplicity 2)
K  0.0000  0.3345  0.0000 (multiplicity 4)
Sm  0.0000  0.5000  0.5000 (multiplicity 2)
U  0.0000  0.1669  0.5000 (multiplicity 4)
Te  0.2346  0.0000  0.7122 (multiplicity 4)
Te  0.2389  0.3321  0.7126 (multiplicity 8)

Computed properties:
Its formation energy (no corrections) is -1.03 eV per atom. The calculation puts the spin magnetization at 12.02 μB/cell. The density of states at the Fermi level is 28.30 states/eV/cell.

---

Material: K2SmUTe4
Method: DFT, PBE
State: relaxed

abc: 7.8674 4.5488 8.6782
angles: 90.00 107.64 90.00
Space group P2/m (No. 10)
Symmetry-distinct sites (fractional):
K  0.0000  0.0000  0.0000 (multiplicity 1)
K  0.5000  0.5000  0.0000 (multiplicity 1)
Sm  0.0000  0.5000  0.5000 (multiplicity 1)
U  0.5000  0.0000  0.5000 (multiplicity 1)
Te  0.2391  0.0000  0.7131 (multiplicity 2)
Te  0.2645  0.5000  0.2881 (multiplicity 2)

Computed properties:
Its formation energy (no corrections) is -1.12 eV per atom. The calculation puts the spin magnetization at 3.01 μB/cell. The density of states at the Fermi level is 9.13 states/eV/cell.

---

Material: K3Sm2UTe6
Method: DFT, PBE
State: relaxed

abc: 7.9043 13.6908 8.6765
angles: 90.00 107.68 90.00
Space group C2/m (No. 12)
Symmetry-distinct sites (fractional):
K  0.0000  0.0000  0.0000 (multiplicity 2)
K  0.0000  0.3328  0.0000 (multiplicity 4)
Sm  0.0000  0.1665  0.5000 (multiplicity 4)
U  0.0000  0.5000  0.5000 (multiplicity 2)
Te  0.2371  0.3337  0.7129 (multiplicity 8)
Te  0.2387  0.0000  0.7131 (multiplicity 4)

Computed properties:
Its formation energy (no corrections) is -1.22 eV per atom. The calculation puts the spin magnetization at 6.01 μB/cell. The density of states at the Fermi level is 20.75 states/eV/cell.

---

Material: K4Sm3YTe8
Method: DFT, PBE
State: relaxed

abc: 9.1072 9.1072 24.7488
angles: 90.00 90.00 120.00
Space group R-3m (No. 166, hexagonal axes)
Symmetry-distinct sites (fractional):
K  0.0000  0.0000  0.0000 (multiplicity 3)
K  0.0000  0.5000  0.0000 (multiplicity 9)
Sm  0.0000  0.5000  0.5000 (multiplicity 9)
Y  0.0000  0.0000  0.5000 (multiplicity 3)
Te  0.0000  0.0000  0.2377 (multiplicity 6)
Te  0.0040  0.5020  0.2370 (multiplicity 18)

Computed properties:
Its formation energy (no corrections) is -1.41 eV per atom. The calculation puts the spin magnetization at 0.00 μB/cell.

---

Material: K3SmY3Te8
Method: DFT, PBE
State: relaxed

abc: 8.8317 8.8317 25.4425
angles: 90.00 90.00 120.00
Space group R-3m (No. 166, hexagonal axes)
Symmetry-distinct sites (fractional):
K  0.0000  0.5000  0.0000 (multiplicity 9)
Sm  0.0000  0.0000  0.5000 (multiplicity 3)
Y  0.0000  0.5000  0.5000 (multiplicity 9)
Te  0.0000  0.0000  0.2364 (multiplicity 6)
Te  0.0070  0.5035  0.7632 (multiplicity 18)

Computed properties:
Its formation energy (no corrections) is -1.33 eV per atom. The calculation puts the spin magnetization at 0.00 μB/cell. The density of states at the Fermi level is 21.65 states/eV/cell.

---

Material: K3Sm3YTe8
Method: DFT, PBE
State: relaxed

abc: 8.9272 8.9272 25.5297
angles: 90.00 90.00 120.00
Space group R-3m (No. 166, hexagonal axes)
Symmetry-distinct sites (fractional):
K  0.0000  0.5000  0.0000 (multiplicity 9)
Sm  0.0000  0.5000  0.5000 (multiplicity 9)
Y  0.0000  0.0000  0.5000 (multiplicity 3)
Te  0.0000  0.0000  0.2378 (multiplicity 6)
Te  0.0029  0.5014  0.2365 (multiplicity 18)

Computed properties:
Its formation energy (no corrections) is -1.33 eV per atom. The calculation puts the spin magnetization at 0.00 μB/cell. The density of states at the Fermi level is 22.33 states/eV/cell.

---

Material: KSm2Y3Te6
Method: DFT, PBE
State: relaxed

abc: 19.5402 4.4021 9.0698
angles: 90.00 104.16 90.00
Space group C2/m (No. 12)
Symmetry-distinct sites (fractional):
K  0.0000  0.0000  0.0000 (multiplicity 2)
Sm  0.1717  0.5000  0.3472 (multiplicity 4)
Y  0.0000  0.0000  0.5000 (multiplicity 2)
Y  0.1630  0.5000  0.8229 (multiplicity 4)
Te  0.0017  0.5000  0.2664 (multiplicity 4)
Te  0.1632  0.0000  0.5880 (multiplicity 4)
Te  0.1739  0.0000  0.0826 (multiplicity 4)

Computed properties:
Its formation energy (no corrections) is -1.35 eV per atom. The calculation puts the spin magnetization at 0.00 μB/cell. The density of states at the Fermi level is 9.12 states/eV/cell.

---

Material: K2SmZrTe4
Method: DFT, PBE
State: relaxed

abc: 7.6113 4.3473 8.7044
angles: 90.00 106.57 90.00
Space group P2/m (No. 10)
Symmetry-distinct sites (fractional):
K  0.0000  0.0000  0.0000 (multiplicity 1)
K  0.5000  0.5000  0.0000 (multiplicity 1)
Sm  0.0000  0.5000  0.5000 (multiplicity 1)
Zr  0.5000  0.0000  0.5000 (multiplicity 1)
Te  0.2521  0.0000  0.7121 (multiplicity 2)
Te  0.2793  0.5000  0.2949 (multiplicity 2)

Computed properties:
Its formation energy (no corrections) is -1.16 eV per atom. The calculation puts the spin magnetization at 0.00 μB/cell. The density of states at the Fermi level is 3.41 states/eV/cell.

---

Material: K3Sm3ZrTe8
Method: DFT, PBE
State: relaxed

abc: 8.9095 8.9095 25.3483
angles: 90.00 90.00 120.00
Space group R-3m (No. 166, hexagonal axes)
Symmetry-distinct sites (fractional):
K  0.0000  0.5000  0.0000 (multiplicity 9)
Sm  0.0000  0.5000  0.5000 (multiplicity 9)
Zr  0.0000  0.0000  0.5000 (multiplicity 3)
Te  0.0000  0.0000  0.2378 (multiplicity 6)
Te  0.0178  0.5089  0.2342 (multiplicity 18)

Computed properties:
Its formation energy (no corrections) is -1.28 eV per atom. The calculation puts the spin magnetization at 0.00 μB/cell.

---

Material: KSm2Tl
Method: DFT, PBE
State: relaxed

abc: 3.7507 3.7507 37.9970
angles: 90.00 90.00 120.00
Space group R-3m (No. 166, hexagonal axes)
Symmetry-distinct sites (fractional):
K  0.0000  0.0000  0.0000 (multiplicity 3)
Sm  0.0000  0.0000  0.1026 (multiplicity 6)
Tl  0.0000  0.0000  0.5000 (multiplicity 3)

Computed properties:
Its formation energy from the elements is 131 meV/atom. The calculation puts the spin magnetization at 1.84 μB/cell. The density of states at the Fermi level is 17.96 states/eV/cell.

---

Material: KSmTl4
Method: DFT, PBE
State: relaxed

abc: 9.0697 9.0697 9.0697
angles: 90.00 90.00 90.00
Space group F-43m (No. 216)
Symmetry-distinct sites (fractional):
K  0.0000  0.0000  0.0000 (multiplicity 4)
Sm  0.2500  0.2500  0.7500 (multiplicity 4)
Tl  0.1245  0.1245  0.3755 (multiplicity 16)

Computed properties:
Its formation energy from the elements is -24 meV/atom. The calculation puts the spin magnetization at 0.00 μB/cell. The density of states at the Fermi level is 17.45 states/eV/cell.

---

Material: KSm4Tl5
Method: DFT, PBE
State: relaxed

abc: 3.8984 3.8984 20.0756
angles: 90.00 90.00 90.00
Space group P4/mmm (No. 123)
Symmetry-distinct sites (fractional):
K  0.0000  0.0000  0.0000 (multiplicity 1)
Sm  0.0000  0.0000  0.2125 (multiplicity 2)
Sm  0.0000  0.0000  0.4042 (multiplicity 2)
Tl  0.5000  0.5000  0.1255 (multiplicity 2)
Tl  0.5000  0.5000  0.3099 (multiplicity 2)
Tl  0.5000  0.5000  0.5000 (multiplicity 1)

Computed properties:
Its formation energy from the elements is -313 meV/atom. The calculation puts the spin magnetization at 0.00 μB/cell. The density of states at the Fermi level is 6.83 states/eV/cell.

---

Material: KSm2Tl9
Method: DFT, PBE
State: relaxed

abc: 4.8703 4.8703 14.7435
angles: 90.00 90.00 90.00
Space group P4/mmm (No. 123)
Symmetry-distinct sites (fractional):
K  0.0000  0.0000  0.0000 (multiplicity 1)
Sm  0.0000  0.0000  0.3436 (multiplicity 2)
Tl  0.0000  0.5000  0.1771 (multiplicity 4)
Tl  0.0000  0.5000  0.5000 (multiplicity 2)
Tl  0.5000  0.5000  0.0000 (multiplicity 1)
Tl  0.5000  0.5000  0.3352 (multiplicity 2)

Computed properties:
Its formation energy from the elements is -182 meV/atom. The calculation puts the spin magnetization at 0.00 μB/cell. The density of states at the Fermi level is 7.60 states/eV/cell.

---

Material: KSmTl
Method: DFT, PBE
State: relaxed

abc: 4.0228 4.0228 29.4257
angles: 90.00 90.00 90.00
Space group I4/mmm (No. 139)
Symmetry-distinct sites (fractional):
K  0.0000  0.0000  0.0741 (multiplicity 4)
Sm  0.0000  0.0000  0.2113 (multiplicity 4)
Tl  0.0000  0.0000  0.3443 (multiplicity 4)

Computed properties:
Its formation energy from the elements is -112 meV/atom. The calculation puts the spin magnetization at 1.54 μB/cell. The density of states at the Fermi level is 11.94 states/eV/cell.

---

Material: KSmTm2
Method: DFT, PBE
State: relaxed

abc: 3.5687 3.5687 39.5724
angles: 90.00 90.00 120.00
Space group R-3m (No. 166, hexagonal axes)
Symmetry-distinct sites (fractional):
K  0.0000  0.0000  0.0000 (multiplicity 3)
Sm  0.0000  0.0000  0.5000 (multiplicity 3)
Tm  0.0000  0.0000  0.0953 (multiplicity 6)

Computed properties:
Its formation energy from the elements is 273 meV/atom. The calculation puts the spin magnetization at 0.00 μB/cell. The density of states at the Fermi level is 16.45 states/eV/cell.

---

Material: KSm2Zn
Method: DFT, PBE
State: relaxed

abc: 3.7037 3.7037 36.4433
angles: 90.00 90.00 120.00
Space group R-3m (No. 166, hexagonal axes)
Symmetry-distinct sites (fractional):
K  0.0000  0.0000  0.0000 (multiplicity 3)
Sm  0.0000  0.0000  0.1081 (multiplicity 6)
Zn  0.0000  0.0000  0.5000 (multiplicity 3)

Computed properties:
Its formation energy from the elements is 155 meV/atom. The calculation puts the spin magnetization at 0.00 μB/cell. The density of states at the Fermi level is 12.04 states/eV/cell.

---

Material: KSn6
Method: DFT, PBE
State: relaxed

abc: 7.3078 7.3078 7.3078
angles: 90.00 90.00 90.00
Space group Pm-3m (No. 221)
Symmetry-distinct sites (fractional):
K  0.0000  0.0000  0.0000 (multiplicity 1)
Sn  0.1993  0.5000  0.5000 (multiplicity 6)

Computed properties:
Its formation energy from the elements is 280 meV/atom. The offset from the most stable computed form is 2.11 eV/f.u. The calculation puts the spin magnetization at 0.00 μB/cell. The density of states at the Fermi level is 4.51 states/eV/cell.

---

Material: KSn8
Method: DFT, PBE
State: relaxed

abc: 10.9881 10.9881 4.4213
angles: 90.00 90.00 90.00
Space group I4/mmm (No. 139)
Symmetry-distinct sites (fractional):
K  0.0000  0.0000  0.0000 (multiplicity 2)
Sn  0.0000  0.3427  0.0000 (multiplicity 8)
Sn  0.1825  0.1825  0.5000 (multiplicity 8)

Computed properties:
Its formation energy from the elements is 4 meV/atom. The calculation puts the spin magnetization at 0.00 μB/cell. The density of states at the Fermi level is 9.62 states/eV/cell.

---

Material: K3Sn4
Method: DFT, PBE
State: relaxed

abc: 4.6435 5.6162 21.4077
angles: 90.00 90.00 90.00
Space group Immm (No. 71)
Symmetry-distinct sites (fractional):
K  0.0000  0.0000  0.0000 (multiplicity 2)
K  0.0000  0.5000  0.3159 (multiplicity 4)
Sn  0.0000  0.0000  0.4344 (multiplicity 4)
Sn  0.0000  0.5000  0.1427 (multiplicity 4)

Computed properties:
Its formation energy from the elements is -211 meV/atom. The calculation puts the spin magnetization at 0.00 μB/cell. The density of states at the Fermi level is 6.54 states/eV/cell.